1.
Crystalline YTh3Sc2 at its relaxed geometry. Source: the Alexandria database, functional PBE.

## Properties
ΔE_f in meV per atom: 39
Magnetization in μB per cell: 0.0
VASP energy in eV/atom: -6.86
DOS at the Fermi energy in states/eV/atom: 1.27

a b c (Å): 3.5194 3.5194 14.3625
angles (deg): 90.00 90.00 90.00
Last column: nearest neighbours and their distance in Å.
Fractional coordinates of all 6 atoms:
1 Y 0.0000 0.0000 0.0000  4 Y 3.52, 8 Th 3.57
2 Th 0.5000 0.5000 0.1781  4 Sc 3.40, 4 Th 3.52, 4 Y 3.57
3 Th 0.5000 0.5000 0.5000  8 Sc 3.40, 4 Th 3.52
4 Th 0.5000 0.5000 0.8219  4 Sc 3.40, 4 Th 3.52, 4 Y 3.57
5 Sc 0.0000 0.0000 0.3392  8 Th 3.40, 4 Sc 3.52
6 Sc 0.0000 0.0000 0.6608  8 Th 3.40, 4 Sc 3.52

***

2.
Crystalline Y5Th2Sc4 at its relaxed geometry. Source: the Alexandria database, functional PBE.

## Properties
ΔE_f in meV per atom: 254
Magnetization in μB per cell: 0.0
VASP energy in eV/atom: -6.34
DOS at the Fermi energy in states/eV/atom: 1.46

a b c (Å): 10.6981 10.6981 10.6981
angles (deg): 161.93 116.89 66.24
Last column: nearest neighbours and their distance in Å.
Fractional coordinates of all 11 atoms:
1 Y 0.0000 0.0000 0.0000  2 Y 3.36, 4 Sc 3.61
2 Y 0.1152 0.3278 0.7874  3 Sc 3.09-3.30, 1 Th 3.28, 4 Y 3.36
3 Y 0.4596 0.6722 0.7874  3 Sc 3.09-3.30, 1 Th 3.28, 4 Y 3.36
4 Y 0.5404 0.3278 0.2126  3 Sc 3.09-3.30, 1 Th 3.28, 4 Y 3.36
5 Y 0.8848 0.6722 0.2126  3 Sc 3.09-3.30, 1 Th 3.28, 4 Y 3.36
6 Th 0.2077 0.7077 0.5000  6 Y 3.28-3.62, 2 Th 3.36
7 Th 0.7923 0.2923 0.5000  6 Y 3.28-3.62, 2 Th 3.36
8 Sc 0.2851 0.5000 0.7851  2 Y 3.09, 6 Sc 3.31-3.36
9 Sc 0.4146 0.9146 0.5000  7 Sc 3.06-3.36, 4 Y 3.30
10 Sc 0.5854 0.0854 0.5000  7 Sc 3.06-3.36, 4 Y 3.30
11 Sc 0.7149 0.5000 0.2149  2 Y 3.09, 6 Sc 3.31-3.36

***

3.
Crystalline YThSc14 at its relaxed geometry. Source: the Alexandria database, functional PBE.

## Properties
ΔE_f in meV per atom: 13
Magnetization in μB per cell: 0.0
VASP energy in eV/atom: -6.39
DOS at the Fermi energy in states/eV/atom: 1.72

a b c (Å): 10.4670 6.6880 6.6880
angles (deg): 60.35 90.00 90.00
Last column: nearest neighbours and their distance in Å.
Fractional coordinates of all 16 atoms:
1 Y 0.0000 0.0000 0.0000  10 Sc 3.32-3.37, 2 Th 3.36
2 Th 0.0000 0.4978 0.4978  10 Sc 3.30-3.38, 2 Y 3.36
3 Sc 0.0000 0.0013 0.5032  8 Sc 3.27-3.38, 2 Th 3.30-3.38, 2 Y 3.32-3.37
4 Sc 0.0000 0.5032 0.0013  8 Sc 3.27-3.38, 2 Th 3.30-3.38, 2 Y 3.32-3.37
5 Sc 0.2524 0.6685 0.6685  11 Sc 3.23-3.36, 1 Th 3.30
6 Sc 0.2568 0.1705 0.1705  11 Sc 3.19-3.37, 1 Y 3.33
7 Sc 0.2581 0.1704 0.6665  10 Sc 3.18-3.39, 1 Th 3.31, 1 Y 3.33
8 Sc 0.2581 0.6665 0.1704  10 Sc 3.18-3.39, 1 Th 3.31, 1 Y 3.33
9 Sc 0.5000 0.0007 0.5018  12 Sc 3.19-3.37
10 Sc 0.5000 0.0018 0.0018  12 Sc 3.20-3.36
11 Sc 0.5000 0.5018 0.0007  12 Sc 3.19-3.37
12 Sc 0.5000 0.5017 0.5017  12 Sc 3.18-3.36
13 Sc 0.7419 0.1704 0.6665  10 Sc 3.18-3.39, 1 Th 3.31, 1 Y 3.33
14 Sc 0.7419 0.6665 0.1704  10 Sc 3.18-3.39, 1 Th 3.31, 1 Y 3.33
15 Sc 0.7432 0.1705 0.1705  11 Sc 3.19-3.37, 1 Y 3.33
16 Sc 0.7476 0.6685 0.6685  11 Sc 3.23-3.36, 1 Th 3.30

***

4.
Crystalline YThSc2 at its relaxed geometry. Source: the Alexandria database, functional PBE.

## Properties
ΔE_f in meV per atom: 53
Magnetization in μB per cell: 0.0
VASP energy in eV/atom: -6.58
DOS at the Fermi energy in states/eV/atom: 1.55

a b c (Å): 11.0654 11.0654 11.0654
angles (deg): 18.03 18.03 18.03
Last column: nearest neighbours and their distance in Å.
Fractional coordinates of all 4 atoms:
1 Y 0.0000 0.0000 0.0000  6 Sc 3.43, 6 Y 3.47
2 Th 0.5000 0.5000 0.5000  6 Sc 3.33, 6 Th 3.47
3 Sc 0.2481 0.2481 0.2481  3 Th 3.33, 3 Y 3.43, 6 Sc 3.47
4 Sc 0.7519 0.7519 0.7519  3 Th 3.33, 3 Y 3.43, 6 Sc 3.47

***

5.
Crystalline Y4Th3Sc2 at its relaxed geometry. Source: the Alexandria database, functional PBE.

## Properties
ΔE_f in meV per atom: 107
Magnetization in μB per cell: 0.0
VASP energy in eV/atom: -6.65
DOS at the Fermi energy in states/eV/atom: 2.11

a b c (Å): 3.5172 3.5172 25.9661
angles (deg): 90.00 90.00 120.00
Last column: nearest neighbours and their distance in Å.
Fractional coordinates of all 9 atoms:
1 Y 0.0000 0.0000 0.0000  1 Sc 3.17, 3 Th 3.51, 6 Y 3.52
2 Y 0.0000 0.0000 0.2247  9 Y 3.52-3.56, 3 Th 3.60
3 Y 0.3333 0.6667 0.3371  9 Y 3.52-3.56, 3 Th 3.57
4 Y 0.3333 0.6667 0.5645  3 Sc 3.37, 6 Y 3.52, 3 Th 3.60
5 Th 0.0000 0.0000 0.4501  6 Th 3.52, 6 Y 3.57-3.60
6 Th 0.3333 0.6667 0.1102  6 Y 3.51-3.60, 6 Th 3.52
7 Th 0.3333 0.6667 0.7750  6 Sc 3.36-3.44, 6 Th 3.52
8 Sc 0.0000 0.0000 0.6680  3 Y 3.37, 3 Th 3.44, 6 Sc 3.52
9 Sc 0.0000 0.0000 0.8781  1 Y 3.17, 3 Th 3.36, 6 Sc 3.52

***

6.
Crystalline YTh2Sc3 at its relaxed geometry. Source: the Alexandria database, functional PBE.

## Properties
ΔE_f in meV per atom: 27
Magnetization in μB per cell: 0.0
VASP energy in eV/atom: -6.69
DOS at the Fermi energy in states/eV/atom: 1.20

a b c (Å): 3.4924 3.4924 13.9726
angles (deg): 90.00 90.00 90.00
Last column: nearest neighbours and their distance in Å.
Fractional coordinates of all 6 atoms:
1 Y 0.0000 0.0000 0.0000  8 Sc 3.44, 4 Y 3.49
2 Th 0.0000 0.0000 0.3340  8 Sc 3.35-3.39, 4 Th 3.49
3 Th 0.0000 0.0000 0.6660  8 Sc 3.35-3.39, 4 Th 3.49
4 Sc 0.5000 0.5000 0.1717  4 Th 3.35, 4 Y 3.44, 4 Sc 3.49
5 Sc 0.5000 0.5000 0.5000  8 Th 3.39, 4 Sc 3.49
6 Sc 0.5000 0.5000 0.8283  4 Th 3.35, 4 Y 3.44, 4 Sc 3.49

***

7.
Crystalline Y2Th3Sc4 at its relaxed geometry. Source: the Alexandria database, functional PBE.

## Properties
ΔE_f in meV per atom: 105
Magnetization in μB per cell: 0.0
VASP energy in eV/atom: -6.62
DOS at the Fermi energy in states/eV/atom: 1.97

a b c (Å): 3.4547 3.4547 25.3545
angles (deg): 90.00 90.00 120.00
Last column: nearest neighbours and their distance in Å.
Fractional coordinates of all 9 atoms:
1 Y 0.0000 0.0000 0.0000  3 Sc 3.37, 6 Y 3.45, 3 Th 3.63
2 Y 0.0000 0.0000 0.2329  1 Sc 3.17, 6 Y 3.45, 3 Th 3.50
3 Th 0.0000 0.0000 0.7839  6 Sc 3.41-3.42, 6 Th 3.45
4 Th 0.3333 0.6667 0.1194  6 Th 3.45, 6 Y 3.50-3.63
5 Th 0.3333 0.6667 0.4643  6 Sc 3.36-3.45, 6 Th 3.45
6 Sc 0.0000 0.0000 0.3578  1 Y 3.17, 3 Th 3.36, 6 Sc 3.45
7 Sc 0.0000 0.0000 0.5755  9 Sc 3.20-3.45, 3 Th 3.45
8 Sc 0.3333 0.6667 0.6742  9 Sc 3.20-3.45, 3 Th 3.42
9 Sc 0.3333 0.6667 0.8928  3 Y 3.37, 3 Th 3.41, 6 Sc 3.45

***

8.
Crystalline Y3ThSc2 at its relaxed geometry. Source: the Alexandria database, functional PBE.

## Properties
ΔE_f in meV per atom: 166
Magnetization in μB per cell: 0.0
VASP energy in eV/atom: -6.41
DOS at the Fermi energy in states/eV/atom: 1.63

a b c (Å): 9.5293 3.3725 11.9305
angles (deg): 90.00 108.08 90.00
Last column: nearest neighbours and their distance in Å.
Fractional coordinates of all 12 atoms:
1 Y 0.0783 0.2500 0.3903  5 Y 3.37-3.59, 3 Th 3.49-3.56, 2 Sc 3.53
2 Y 0.1148 0.7500 0.1353  9 Y 3.37-3.70, 2 Sc 3.39-3.49
3 Y 0.2182 0.7500 0.8826  3 Sc 3.26-3.39, 1 Th 3.28, 6 Y 3.37-3.59
4 Y 0.7818 0.2500 0.1174  3 Sc 3.26-3.39, 1 Th 3.28, 6 Y 3.37-3.59
5 Y 0.8852 0.2500 0.8647  9 Y 3.37-3.70, 2 Sc 3.39-3.49
6 Y 0.9217 0.7500 0.6097  5 Y 3.37-3.59, 3 Th 3.49-3.56, 2 Sc 3.53
7 Th 0.3043 0.7500 0.6367  4 Y 3.28-3.56, 5 Sc 3.32-3.38, 2 Th 3.37
8 Th 0.6957 0.2500 0.3633  4 Y 3.28-3.56, 5 Sc 3.32-3.38, 2 Th 3.37
9 Sc 0.4031 0.7500 0.3876  5 Sc 3.22-3.37, 3 Th 3.35-3.38, 3 Y 3.39-3.53
10 Sc 0.4810 0.7500 0.1345  4 Y 3.26-3.49, 2 Th 3.32, 3 Sc 3.33-3.37
11 Sc 0.5190 0.2500 0.8655  4 Y 3.26-3.49, 2 Th 3.32, 3 Sc 3.33-3.37
12 Sc 0.5969 0.2500 0.6124  5 Sc 3.22-3.37, 3 Th 3.35-3.38, 3 Y 3.39-3.53

***

9.
Crystalline Y4ThSc at its relaxed geometry. Source: the Alexandria database, functional PBE.

## Properties
ΔE_f in meV per atom: 49
Magnetization in μB per cell: 0.0
VASP energy in eV/atom: -6.55
DOS at the Fermi energy in states/eV/atom: 1.59

a b c (Å): 6.1202 6.1202 6.9628
angles (deg): 106.26 106.26 48.58
Last column: nearest neighbours and their distance in Å.
Fractional coordinates of all 6 atoms:
1 Y 0.1633 0.1633 0.3312  7 Y 3.46-3.58, 3 Sc 3.51-3.58, 2 Th 3.52
2 Y 0.1630 0.1630 0.8330  7 Y 3.46-3.57, 3 Th 3.51-3.58, 2 Sc 3.53
3 Y 0.8370 0.8370 0.1670  7 Y 3.46-3.57, 3 Th 3.51-3.58, 2 Sc 3.53
4 Y 0.8367 0.8367 0.6688  7 Y 3.46-3.58, 3 Sc 3.51-3.58, 2 Th 3.52
5 Th 0.5000 0.5000 0.0000  2 Sc 3.48, 10 Y 3.51-3.58
6 Sc 0.5000 0.5000 0.5000  2 Th 3.48, 10 Y 3.51-3.58

***

10.
Crystalline Y5ThSc2 at its relaxed geometry. Source: the Alexandria database, functional PBE.

## Properties
ΔE_f in meV per atom: 46
Magnetization in μB per cell: 0.0
VASP energy in eV/atom: -6.50
DOS at the Fermi energy in states/eV/atom: 1.71

a b c (Å): 7.0229 14.0728 4.9045
angles (deg): 90.00 90.00 90.00
Last column: nearest neighbours and their distance in Å.
Fractional coordinates of all 16 atoms:
1 Y 0.0000 0.0000 0.0000  6 Y 3.48-3.53, 2 Th 3.51, 4 Sc 3.51
2 Y 0.0083 0.2512 0.0000  7 Y 3.46-3.53, 4 Sc 3.49-3.54, 1 Th 3.50
3 Y 0.2494 0.8757 0.5000  4 Sc 3.43-3.59, 6 Y 3.46-3.53, 2 Th 3.49
4 Y 0.2506 0.3757 0.5000  4 Sc 3.43-3.59, 6 Y 3.46-3.53, 2 Th 3.49
5 Y 0.4917 0.7512 0.0000  7 Y 3.46-3.53, 4 Sc 3.49-3.54, 1 Th 3.50
6 Y 0.5000 0.5000 0.0000  6 Y 3.48-3.53, 2 Th 3.51, 4 Sc 3.51
7 Y 0.5083 0.2488 0.0000  7 Y 3.46-3.53, 4 Sc 3.49-3.54, 1 Th 3.50
8 Y 0.7494 0.6243 0.5000  4 Sc 3.43-3.59, 6 Y 3.46-3.53, 2 Th 3.49
9 Y 0.7506 0.1243 0.5000  4 Sc 3.43-3.59, 6 Y 3.46-3.53, 2 Th 3.49
10 Y 0.9917 0.7488 0.0000  7 Y 3.46-3.53, 4 Sc 3.49-3.54, 1 Th 3.50
11 Th 0.0000 0.5000 0.0000  4 Sc 3.43, 8 Y 3.49-3.51
12 Th 0.5000 0.0000 0.0000  4 Sc 3.43, 8 Y 3.49-3.51
13 Sc 0.2377 0.6219 0.5000  2 Th 3.43, 10 Y 3.43-3.59
14 Sc 0.2623 0.1219 0.5000  2 Th 3.43, 10 Y 3.43-3.59
15 Sc 0.7377 0.8781 0.5000  2 Th 3.43, 10 Y 3.43-3.59
16 Sc 0.7623 0.3781 0.5000  2 Th 3.43, 10 Y 3.43-3.59

***

11.
Crystalline YTh2Sc3 at its relaxed geometry. Source: the Alexandria database, functional PBE.

## Properties
ΔE_f in meV per atom: 49
Magnetization in μB per cell: 0.0
VASP energy in eV/atom: -6.67
DOS at the Fermi energy in states/eV/atom: 1.47

a b c (Å): 8.9384 8.9384 11.1764
angles (deg): 90.00 90.00 157.55
Last column: nearest neighbours and their distance in Å.
Fractional coordinates of all 12 atoms:
1 Y 0.2222 0.7778 0.7500  8 Sc 3.34-3.50, 2 Th 3.42, 2 Y 3.48
2 Y 0.7778 0.2222 0.2500  8 Sc 3.34-3.50, 2 Th 3.42, 2 Y 3.48
3 Th 0.0000 0.0000 0.0000  6 Sc 3.39-3.40, 6 Th 3.43-3.48
4 Th 0.0000 0.0000 0.5000  6 Sc 3.39-3.40, 6 Th 3.43-3.48
5 Th 0.4456 0.5544 0.2500  4 Sc 3.37-3.48, 2 Y 3.42, 6 Th 3.43-3.48
6 Th 0.5544 0.4456 0.7500  4 Sc 3.37-3.48, 2 Y 3.42, 6 Th 3.43-3.48
7 Sc 0.1099 0.8901 0.2500  4 Th 3.37-3.39, 6 Sc 3.38-3.48, 2 Y 3.42
8 Sc 0.3334 0.6666 0.5070  3 Y 3.34-3.50, 6 Sc 3.38-3.48, 3 Th 3.40-3.48
9 Sc 0.3334 0.6666 0.9930  3 Y 3.34-3.50, 6 Sc 3.38-3.48, 3 Th 3.40-3.48
10 Sc 0.6666 0.3334 0.0070  3 Y 3.34-3.50, 6 Sc 3.38-3.48, 3 Th 3.40-3.48
11 Sc 0.6666 0.3334 0.4930  3 Y 3.34-3.50, 6 Sc 3.38-3.48, 3 Th 3.40-3.48
12 Sc 0.8901 0.1099 0.7500  4 Th 3.37-3.39, 6 Sc 3.38-3.48, 2 Y 3.42

***

Copy entry 5 word for word.
Crystalline Y4Th3Sc2 at its relaxed geometry. Source: the Alexandria database, functional PBE.

## Properties
ΔE_f in meV per atom: 107
Magnetization in μB per cell: 0.0
VASP energy in eV/atom: -6.65
DOS at the Fermi energy in states/eV/atom: 2.11

a b c (Å): 3.5172 3.5172 25.9661
angles (deg): 90.00 90.00 120.00
Last column: nearest neighbours and their distance in Å.
Fractional coordinates of all 9 atoms:
1 Y 0.0000 0.0000 0.0000  1 Sc 3.17, 3 Th 3.51, 6 Y 3.52
2 Y 0.0000 0.0000 0.2247  9 Y 3.52-3.56, 3 Th 3.60
3 Y 0.3333 0.6667 0.3371  9 Y 3.52-3.56, 3 Th 3.57
4 Y 0.3333 0.6667 0.5645  3 Sc 3.37, 6 Y 3.52, 3 Th 3.60
5 Th 0.0000 0.0000 0.4501  6 Th 3.52, 6 Y 3.57-3.60
6 Th 0.3333 0.6667 0.1102  6 Y 3.51-3.60, 6 Th 3.52
7 Th 0.3333 0.6667 0.7750  6 Sc 3.36-3.44, 6 Th 3.52
8 Sc 0.0000 0.0000 0.6680  3 Y 3.37, 3 Th 3.44, 6 Sc 3.52
9 Sc 0.0000 0.0000 0.8781  1 Y 3.17, 3 Th 3.36, 6 Sc 3.52

***

What did the second record say?
Crystalline Y5Th2Sc4 at its relaxed geometry. Source: the Alexandria database, functional PBE.

## Properties
ΔE_f in meV per atom: 254
Magnetization in μB per cell: 0.0
VASP energy in eV/atom: -6.34
DOS at the Fermi energy in states/eV/atom: 1.46

a b c (Å): 10.6981 10.6981 10.6981
angles (deg): 161.93 116.89 66.24
Last column: nearest neighbours and their distance in Å.
Fractional coordinates of all 11 atoms:
1 Y 0.0000 0.0000 0.0000  2 Y 3.36, 4 Sc 3.61
2 Y 0.1152 0.3278 0.7874  3 Sc 3.09-3.30, 1 Th 3.28, 4 Y 3.36
3 Y 0.4596 0.6722 0.7874  3 Sc 3.09-3.30, 1 Th 3.28, 4 Y 3.36
4 Y 0.5404 0.3278 0.2126  3 Sc 3.09-3.30, 1 Th 3.28, 4 Y 3.36
5 Y 0.8848 0.6722 0.2126  3 Sc 3.09-3.30, 1 Th 3.28, 4 Y 3.36
6 Th 0.2077 0.7077 0.5000  6 Y 3.28-3.62, 2 Th 3.36
7 Th 0.7923 0.2923 0.5000  6 Y 3.28-3.62, 2 Th 3.36
8 Sc 0.2851 0.5000 0.7851  2 Y 3.09, 6 Sc 3.31-3.36
9 Sc 0.4146 0.9146 0.5000  7 Sc 3.06-3.36, 4 Y 3.30
10 Sc 0.5854 0.0854 0.5000  7 Sc 3.06-3.36, 4 Y 3.30
11 Sc 0.7149 0.5000 0.2149  2 Y 3.09, 6 Sc 3.31-3.36